# 1
DFT (PBE-GGA) results for a relaxed TaHgTe2 crystal.

Cell lengths 15.244, 5.359, 6.813 Å; angles 90.00, 132.15, 90.00 degrees
Positions (direct):
Te (0.928, 0.870, 0.723)
Te (0.072, 0.130, 0.277)
Te (0.572, 0.370, 0.777)
Te (0.428, 0.630, 0.223)
Te (0.141, 0.642, 0.720)
Te (0.859, 0.358, 0.280)
Te (0.359, 0.142, 0.780)
Te (0.641, 0.858, 0.220)
Hg (0.260, 0.137, 0.128)
Hg (0.740, 0.863, 0.872)
Hg (0.240, 0.637, 0.372)
Hg (0.760, 0.363, 0.628)
Ta (0.523, 0.120, 0.348)
Ta (0.477, 0.880, 0.652)
Ta (0.977, 0.620, 0.152)
Ta (0.023, 0.380, 0.848)

E_tot ... -73.33 eV per cell
Size of the total moment ... 0.0 μB per formula unit
Formation energy (no corrections) ... 0.027 eV/atom
Density of states at the Fermi level ... 0.6758 states/eV per atom


# 2
DFT (PBE-GGA) results for a relaxed NaTiPb2 crystal.

Cell lengths 3.283, 5.394, 5.394 Å; angles 90.00, 90.00, 90.00 degrees
Each line ends with the local moment (μB).
Positions (direct):
Pb (0.000, 0.000, 0.500)  0.00
Pb (0.000, 0.500, 0.000)  0.00
Na (0.500, 0.000, 0.000)  0.00
Ti (0.500, 0.500, 0.500)  0.11

E_tot ... -16.25 eV per cell
Size of the total moment ... 0.1 μB per formula unit
Density of states at the Fermi level ... 0.7946 states/eV per atom
DFT formation energy ... 95 meV/atom


# 3
DFT (PBE-GGA) results for a relaxed Mg2OsPb crystal.

Cell lengths 4.746, 4.746, 4.746 Å; angles 60.00, 60.00, 60.00 degrees
Positions (direct):
Mg (0.000, 0.000, 0.000)
Mg (0.250, 0.250, 0.250)
Os (0.500, 0.500, 0.500)
Pb (0.750, 0.750, 0.750)

E_tot ... -16.57 eV per cell
Size of the total moment ... 0.0 μB per formula unit
Density of states at the Fermi level ... 0.8596 states/eV per atom
DFT formation energy ... 389 meV/atom


# 4
DFT (PBE-GGA) results for a relaxed CdGe crystal.

Cell lengths 6.158, 6.158, 6.158 Å; angles 90.00, 90.00, 90.00 degrees
Positions (direct):
Cd (0.000, 0.000, 0.000)
Cd (0.000, 0.500, 0.500)
Cd (0.500, 0.000, 0.500)
Cd (0.500, 0.500, 0.000)
Ge (0.250, 0.250, 0.250)
Ge (0.250, 0.750, 0.750)
Ge (0.750, 0.250, 0.750)
Ge (0.750, 0.750, 0.250)

E_tot ... -17.84 eV per cell
Size of the total moment ... 0.0 μB per formula unit
Density of states at the Fermi level ... 0.8205 states/eV per atom
DFT formation energy ... 537 meV/atom


# 5
DFT (PBE-GGA) results for a relaxed Ta2GaCl crystal.

Cell lengths 4.006, 4.006, 9.893 Å; angles 78.32, 78.32, 90.00 degrees
Positions (direct):
Cl (0.500, 0.500, 0.000)
Cl (0.250, 0.750, 0.500)
Ga (0.000, 0.000, 0.000)
Ga (0.750, 0.250, 0.500)
Ta (0.633, 0.125, 0.250)
Ta (0.117, 0.625, 0.250)
Ta (0.375, 0.367, 0.750)
Ta (0.875, 0.883, 0.750)

E_tot ... -52.93 eV per cell
Size of the total moment ... 0.0 μB per formula unit
Formation energy (no corrections) ... 0.529 eV/atom
Density of states at the Fermi level ... 0.5729 states/eV per atom
Energy above the most stable polymorph in this dataset ... 211 meV/atom


# 6
DFT (PBE-GGA) results for a relaxed CaFeSe2S crystal.

Cell lengths 5.049, 5.018, 5.049 Å; angles 90.00, 90.00, 90.00 degrees
Each line ends with the local moment (μB).
Positions (direct):
S (0.000, 0.000, 0.000)  0.00
Ca (0.000, 0.500, 0.000)  -0.02
Fe (0.500, 0.500, 0.500)  3.20
Se (0.000, 0.000, 0.500)  -0.01
Se (0.500, 0.000, 0.000)  0.04

E_tot ... -20.14 eV per cell
Size of the total moment ... 3.4 μB per formula unit
Formation energy (no corrections) ... 0.283 eV/atom
Density of states at the Fermi level ... 0.6690 states/eV per atom


Copy entry 2 word for word.
DFT (PBE-GGA) results for a relaxed NaTiPb2 crystal.

Cell lengths 3.283, 5.394, 5.394 Å; angles 90.00, 90.00, 90.00 degrees
Each line ends with the local moment (μB).
Positions (direct):
Pb (0.000, 0.000, 0.500)  0.00
Pb (0.000, 0.500, 0.000)  0.00
Na (0.500, 0.000, 0.000)  0.00
Ti (0.500, 0.500, 0.500)  0.11

E_tot ... -16.25 eV per cell
Size of the total moment ... 0.1 μB per formula unit
Density of states at the Fermi level ... 0.7946 states/eV per atom
DFT formation energy ... 95 meV/atom